Entry 1:
A plane-wave DFT calculation with PBE was carried out for crystalline Cr2CdTe at its relaxed geometry.

Structure (extended XYZ):
```
4
Lattice="5.154 -1.851 0.000 5.154 1.851 0.000 -1.038 0.000 4.319" Properties=species:S:1:pos:R:3 pbc="T T T"
Cr 0.000 0.000 0.000
Cr 1.710 0.000 2.704
Cd 4.514 0.000 2.170
Te 7.450 0.000 0.496
```

## Properties
- Raw total energy: -21.5 eV/cell
- Crystal system: monoclinic
- Space-group type: No. 8
- ΔE_f (raw): 0.462 eV per atom

---

Entry 2:
A plane-wave DFT calculation with PBE was carried out for crystalline CrCdTe2 at its relaxed geometry.

Structure (extended XYZ):
```
4
Lattice="3.574 -2.065 0.000 3.574 2.065 0.000 -2.397 0.000 7.036" Properties=species:S:1:pos:R:3 pbc="T T T"
Cr 0.000 0.000 0.000
Cd 2.376 0.000 3.518
Te -0.014 0.000 5.530
Te 4.765 0.000 1.505
```

## Properties
- Raw total energy: -17.4 eV/cell
- Crystal system: monoclinic
- Space-group type: No. 12
- ΔE_f (raw): -0.144 eV per atom

---

- Which of these has the highest ΔE_f (raw)?
  Cr2CdTe

---

- Which formula does entry 1 have?
  Cr2CdTe